Below is an optimized crystal structure of Cs6Au2BrCl2, with properties calculated at the GGA-PBE level.

Cell and atoms, written as extended XYZ:
```
11
Lattice="4.508 -7.712 0.000 4.508 7.712 0.000 -2.986 0.000 8.381" Properties=species:S:1:pos:R:3 pbc="T T T"
Cs -0.051 2.672 6.336
Cs 1.384 0.000 2.039
Cs -0.051 -2.672 6.336
Cs 6.081 2.672 2.046
Cs 4.646 0.000 6.343
Cs 6.081 -2.672 2.046
Au 3.015 2.502 4.191
Au 3.015 -2.502 4.191
Br -1.493 0.000 4.191
Cl 4.508 5.144 0.000
Cl 4.508 -5.144 0.000
```

Values from the calculation:
For the spin magnetization, the calculation gives 0.8 μB per cell. As for the uncorrected formation energy: -1.136 eV/atom. The density of states at the Fermi level comes out at 2.73 states/eV/cell. As for the space-group type: No. 12.

***

Below is an optimized crystal structure of CuAu2BrCl, with properties calculated at the GGA-PBE level.

Cell and atoms, written as extended XYZ:
```
5
Lattice="5.123 0.000 0.000 0.000 5.123 0.000 0.000 0.000 4.349" Properties=species:S:1:pos:R:3 pbc="T T T"
Cu 0.000 0.000 0.000
Au 0.000 2.562 0.000
Au 2.562 0.000 0.000
Br 2.562 2.562 2.174
Cl 0.000 0.000 2.174
```

Values from the calculation:
For the spin magnetization, the calculation gives 0.0 μB per cell. As for the uncorrected formation energy: 0.365 eV/atom. The density of states at the Fermi level comes out at 2.67 states/eV/cell. As for the space-group type: No. 123.

***

Below is an optimized crystal structure of AuBrClF, with properties calculated at the GGA-PBE level.

Cell and atoms, written as extended XYZ:
```
4
Lattice="6.557 -2.675 0.000 6.557 2.675 0.000 -0.694 0.000 2.956" Properties=species:S:1:pos:R:3 pbc="T T T"
Au 0.000 0.000 0.000
Br 6.658 0.000 0.026
Cl 10.199 0.000 2.436
F 1.917 0.000 0.446
```

Values from the calculation:
For the spin magnetization, the calculation gives 0.1 μB per cell. As for the uncorrected formation energy: -0.287 eV/atom. The density of states at the Fermi level comes out at 2.26 states/eV/cell. As for the space-group type: No. 8.

***

Below is an optimized crystal structure of GaAuBr2Cl, with properties calculated at the GGA-PBE level.

Cell and atoms, written as extended XYZ:
```
5
Lattice="6.142 0.000 0.000 0.000 6.142 0.000 0.000 0.000 4.581" Properties=species:S:1:pos:R:3 pbc="T T T"
Ga 0.000 0.000 0.000
Au 3.071 3.071 0.000
Br 0.000 3.071 2.291
Br 3.071 0.000 2.291
Cl 3.071 3.071 2.291
```

Values from the calculation:
For the spin magnetization, the calculation gives 0.3 μB per cell. As for the uncorrected formation energy: 0.217 eV/atom. The density of states at the Fermi level comes out at 3.70 states/eV/cell. As for the space-group type: No. 123.

***

Below is an optimized crystal structure of KAuBr2Cl, with properties calculated at the GGA-PBE level.

Cell and atoms, written as extended XYZ:
```
5
Lattice="5.414 0.000 0.000 0.000 5.414 0.000 0.000 0.000 5.124" Properties=species:S:1:pos:R:3 pbc="T T T"
K 0.000 0.000 0.000
Au 2.707 2.707 2.562
Br 0.000 2.707 2.562
Br 2.707 0.000 2.562
Cl 2.707 2.707 0.000
```

Values from the calculation:
For the spin magnetization, the calculation gives 0.0 μB per cell. As for the uncorrected formation energy: -0.813 eV/atom. The density of states at the Fermi level comes out at 1.87 states/eV/cell. As for the space-group type: No. 123.

***

Below is an optimized crystal structure of K4AuBrCl2, with properties calculated at the GGA-PBE level.

Cell and atoms, written as extended XYZ:
```
8
Lattice="8.033 0.000 0.000 0.000 4.616 0.000 -2.662 0.000 7.640" Properties=species:S:1:pos:R:3 pbc="T T T"
K 1.320 0.000 1.785
K -0.008 2.308 5.832
K 5.379 2.308 1.807
K 4.051 0.000 5.855
Au 2.686 2.308 3.820
Br -1.331 0.000 3.820
Cl 0.000 2.308 0.000
Cl 4.017 0.000 0.000
```

Values from the calculation:
For the spin magnetization, the calculation gives 0.0 μB per cell. As for the uncorrected formation energy: -1.472 eV/atom. The density of states at the Fermi level comes out at 0.00 states/eV/cell. As for the space-group type: No. 10.

***

Below is an optimized crystal structure of K2AuBr2Cl2, with properties calculated at the GGA-PBE level.

Cell and atoms, written as extended XYZ:
```
7
Lattice="0.000 4.975 5.461 4.287 0.000 5.461 4.287 4.975 0.000" Properties=species:S:1:pos:R:3 pbc="T T T"
K 2.144 2.488 2.731
K 6.431 7.463 8.192
Au 0.000 0.000 0.000
Br 4.287 2.610 5.461
Br 4.287 7.341 5.461
Cl 4.287 4.975 2.453
Cl 4.287 4.975 8.470
```

Values from the calculation:
For the spin magnetization, the calculation gives 0.0 μB per cell. As for the uncorrected formation energy: -1.154 eV/atom. The density of states at the Fermi level comes out at 3.59 states/eV/cell. As for the space-group type: No. 69.

***

Below is an optimized crystal structure of K8AuBr3Cl4, with properties calculated at the GGA-PBE level.

Cell and atoms, written as extended XYZ:
```
16
Lattice="4.625 2.670 7.595 -4.625 2.670 7.595 0.000 -5.340 7.595" Properties=species:S:1:pos:R:3 pbc="T T T"
K 0.000 0.000 5.607
K -2.296 -1.326 13.186
K 0.000 -2.651 9.599
K -2.296 1.326 9.599
K 2.296 -1.326 13.186
K 0.000 2.651 13.186
K 2.296 1.326 9.599
K 0.000 0.000 17.179
Au 0.000 0.000 0.000
Br -2.312 -1.335 7.595
Br -2.312 1.335 15.190
Br 0.000 2.670 7.595
Cl -4.625 0.000 11.393
Cl -2.312 1.335 3.798
Cl 2.312 1.335 3.798
Cl 0.000 0.000 11.393
```

Values from the calculation:
For the spin magnetization, the calculation gives 0.0 μB per cell. As for the uncorrected formation energy: -1.661 eV/atom. The density of states at the Fermi level comes out at 0.00 states/eV/cell. As for the space-group type: No. 166.

***

Below is an optimized crystal structure of La4Au2BrCl, with properties calculated at the GGA-PBE level.

Cell and atoms, written as extended XYZ:
```
8
Lattice="0.000 6.303 4.310 4.310 0.000 4.310 4.310 6.303 0.000" Properties=species:S:1:pos:R:3 pbc="T T T"
La 4.310 3.108 4.310
La 6.459 6.303 6.458
La 4.310 9.498 4.310
La 2.161 6.303 6.458
Au 2.155 3.151 2.156
Au 6.465 9.454 6.466
Br 4.310 6.303 4.299
Cl 4.310 6.303 8.618
```

Values from the calculation:
For the spin magnetization, the calculation gives 0.0 μB per cell. As for the uncorrected formation energy: -1.132 eV/atom. The density of states at the Fermi level comes out at 6.55 states/eV/cell. As for the space-group type: No. 42.

***

Below is an optimized crystal structure of La4AuBr2Cl, with properties calculated at the GGA-PBE level.

Cell and atoms, written as extended XYZ:
```
8
Lattice="7.199 0.000 0.000 0.000 4.214 0.000 -2.607 0.000 7.687" Properties=species:S:1:pos:R:3 pbc="T T T"
La 1.054 0.000 1.734
La -0.227 2.107 5.944
La 4.819 2.107 1.744
La 3.538 0.000 5.953
Au 3.599 0.000 0.000
Br -1.303 0.000 3.844
Br 2.296 2.107 3.844
Cl 0.000 2.107 0.000
```

Values from the calculation:
For the spin magnetization, the calculation gives 0.0 μB per cell. As for the uncorrected formation energy: -1.231 eV/atom. The density of states at the Fermi level comes out at 6.42 states/eV/cell. As for the space-group type: No. 10.

***

Below is an optimized crystal structure of NaAuBrCl2, with properties calculated at the GGA-PBE level.

Cell and atoms, written as extended XYZ:
```
5
Lattice="5.045 0.000 0.000 0.000 5.045 0.000 0.000 0.000 5.482" Properties=species:S:1:pos:R:3 pbc="T T T"
Na 0.000 0.000 0.000
Au 2.523 2.523 2.741
Br 2.523 2.523 0.000
Cl 0.000 2.523 2.741
Cl 2.523 0.000 2.741
```

Values from the calculation:
For the spin magnetization, the calculation gives 0.0 μB per cell. As for the uncorrected formation energy: -0.683 eV/atom. The density of states at the Fermi level comes out at 1.57 states/eV/cell. As for the space-group type: No. 123.

***

Below is an optimized crystal structure of NaAuBr2Cl, with properties calculated at the GGA-PBE level.

Cell and atoms, written as extended XYZ:
```
5
Lattice="5.400 0.000 0.000 0.000 5.400 0.000 0.000 0.000 5.041" Properties=species:S:1:pos:R:3 pbc="T T T"
Na 0.000 0.000 0.000
Au 2.700 2.700 2.520
Br 0.000 2.700 2.520
Br 2.700 0.000 2.520
Cl 2.700 2.700 0.000
```

Values from the calculation:
For the spin magnetization, the calculation gives 0.0 μB per cell. As for the uncorrected formation energy: -0.627 eV/atom. The density of states at the Fermi level comes out at 1.82 states/eV/cell. As for the space-group type: No. 123.

***

Below is an optimized crystal structure of NbAu2BrCl, with properties calculated at the GGA-PBE level.

Cell and atoms, written as extended XYZ:
```
5
Lattice="5.260 0.000 0.000 0.000 5.260 0.000 0.000 0.000 4.972" Properties=species:S:1:pos:R:3 pbc="T T T"
Nb 0.000 0.000 0.000
Au 0.000 2.630 0.000
Au 2.630 0.000 0.000
Br 0.000 0.000 2.486
Cl 2.630 2.630 2.486
```

Values from the calculation:
For the spin magnetization, the calculation gives 0.0 μB per cell. As for the uncorrected formation energy: 0.487 eV/atom. The density of states at the Fermi level comes out at 3.32 states/eV/cell. As for the space-group type: No. 123.